No. 1
{"formula": "Tm3TaN4", "functional": "PBE-GGA", "state": "optimized geometry", "dft_energy_ev_per_atom": -8.964, "rho_g_cm3": 12.07, "raw_formation_energy_ev_per_atom": -1.6432, "cell": [[3.321, -4.671, 0.000], [3.321, 4.671, 0.000], [0.000, 0.000, 3.297]], "species": ["Tm", "Tm", "Tm", "Ta", "N", "N", "N", "N"], "frac_coords": [[0.000, 0.000, 0.000], [0.000, 0.500, 0.500], [0.500, 0.000, 0.500], [0.500, 0.500, 0.000], [0.262, 0.738, 0.000], [0.267, 0.267, 0.500], [0.733, 0.733, 0.500], [0.738, 0.262, 0.000]]}

=====

No. 2
{"formula": "YTmTaN3", "functional": "PBE-GGA", "state": "optimized geometry", "dft_energy_ev_per_atom": -9.119, "rho_g_cm3": 8.44, "raw_formation_energy_ev_per_atom": -1.1583, "cell": [[7.041, 0.000, 0.000], [0.000, 3.365, 0.000], [-0.119, 0.000, 7.987]], "species": ["Y", "Y", "Tm", "Tm", "Ta", "Ta", "N", "N", "N", "N", "N", "N"], "frac_coords": [[0.145, 0.250, 0.159], [0.855, 0.750, 0.841], [0.390, 0.750, 0.852], [0.610, 0.250, 0.148], [0.131, 0.250, 0.578], [0.869, 0.750, 0.422], [0.130, 0.250, 0.836], [0.183, 0.750, 0.447], [0.382, 0.750, 0.123], [0.618, 0.250, 0.877], [0.817, 0.250, 0.553], [0.870, 0.750, 0.164]]}

=====

No. 3
{"formula": "Tm3Zr3TaN8", "functional": "PBE-GGA", "state": "optimized geometry", "dft_energy_ev_per_atom": -9.450, "rho_g_cm3": 8.88, "raw_formation_energy_ev_per_atom": -1.6156, "cell": [[3.259, 1.882, 5.453], [-3.259, 1.882, 5.453], [0.000, -3.763, 5.453]], "species": ["Tm", "Tm", "Tm", "Zr", "Zr", "Zr", "Ta", "N", "N", "N", "N", "N", "N", "N", "N"], "frac_coords": [[0.000, 0.500, 0.500], [0.500, 0.000, 0.500], [0.500, 0.500, 0.000], [0.000, 0.000, 0.500], [0.000, 0.500, 0.000], [0.500, 0.000, 0.000], [0.500, 0.500, 0.500], [0.247, 0.247, 0.247], [0.261, 0.730, 0.730], [0.270, 0.270, 0.739], [0.270, 0.739, 0.270], [0.730, 0.261, 0.730], [0.730, 0.730, 0.261], [0.739, 0.270, 0.270], [0.753, 0.753, 0.753]]}

=====

No. 4
{"formula": "Tm3Zr2TaN6", "functional": "PBE-GGA", "state": "optimized geometry", "dft_energy_ev_per_atom": -9.359, "rho_g_cm3": 10.48, "raw_formation_energy_ev_per_atom": -1.6659, "cell": [[2.839, -4.914, 0.000], [2.839, 4.914, 0.000], [-1.895, 0.000, 5.420]], "species": ["Tm", "Tm", "Tm", "Zr", "Zr", "Ta", "N", "N", "N", "N", "N", "N"], "frac_coords": [[0.000, 0.000, 0.000], [0.333, 0.667, 0.000], [0.667, 0.333, 0.000], [0.167, 0.833, 0.500], [0.833, 0.167, 0.500], [0.500, 0.500, 0.500], [0.097, 0.421, 0.264], [0.255, 0.255, 0.738], [0.421, 0.097, 0.264], [0.579, 0.903, 0.736], [0.745, 0.745, 0.262], [0.903, 0.579, 0.736]]}

=====

No. 5
{"formula": "Tm2Zr3TaN6", "functional": "PBE-GGA", "state": "optimized geometry", "dft_energy_ev_per_atom": -9.649, "rho_g_cm3": 9.79, "raw_formation_energy_ev_per_atom": -1.6163, "cell": [[2.833, -4.902, 0.000], [2.833, 4.902, 0.000], [-1.882, 0.000, 5.353]], "species": ["Tm", "Tm", "Zr", "Zr", "Zr", "Ta", "N", "N", "N", "N", "N", "N"], "frac_coords": [[0.166, 0.834, 0.000], [0.834, 0.166, 0.000], [0.000, 0.000, 0.500], [0.332, 0.668, 0.500], [0.668, 0.332, 0.500], [0.500, 0.500, 0.000], [0.095, 0.418, 0.754], [0.260, 0.260, 0.254], [0.418, 0.095, 0.754], [0.582, 0.905, 0.246], [0.740, 0.740, 0.746], [0.905, 0.582, 0.246]]}

=====

No. 6
{"formula": "TmZr2TaN4", "functional": "PBE-GGA", "state": "optimized geometry", "dft_energy_ev_per_atom": -9.866, "rho_g_cm3": 10.05, "raw_formation_energy_ev_per_atom": -1.5258, "cell": [[5.629, 0.000, 0.000], [0.000, 3.245, 0.000], [-1.851, 0.000, 5.321]], "species": ["Tm", "Zr", "Zr", "Ta", "N", "N", "N", "N"], "frac_coords": [[0.000, 0.000, 0.000], [0.500, 0.000, 0.500], [0.500, 0.500, 0.000], [0.000, 0.500, 0.500], [0.239, 0.000, 0.736], [0.249, 0.500, 0.261], [0.751, 0.500, 0.739], [0.761, 0.000, 0.264]]}

=====

No. 7
{"formula": "UTa2N", "functional": "PBE-GGA", "state": "optimized geometry", "dft_energy_ev_per_atom": -10.839, "rho_g_cm3": 15.41, "raw_formation_energy_ev_per_atom": -0.0093, "cell": [[1.487, 0.859, 8.632], [-1.487, 0.859, 8.632], [0.000, -1.718, 8.632]], "species": ["U", "Ta", "Ta", "N"], "frac_coords": [[0.000, 0.000, 0.000], [0.114, 0.114, 0.114], [0.886, 0.886, 0.886], [0.500, 0.500, 0.500]]}

=====

No. 8
{"formula": "UTaN3", "functional": "PBE-GGA", "state": "optimized geometry", "dft_energy_ev_per_atom": -10.754, "rho_g_cm3": 12.73, "raw_formation_energy_ev_per_atom": -1.1305, "cell": [[1.698, -6.564, 0.000], [1.698, 6.564, 0.000], [0.000, 0.000, 5.394]], "species": ["U", "U", "Ta", "Ta", "N", "N", "N", "N", "N", "N"], "frac_coords": [[0.170, 0.830, 0.750], [0.830, 0.170, 0.250], [0.442, 0.558, 0.750], [0.558, 0.442, 0.250], [0.000, 0.000, 0.000], [0.000, 0.000, 0.500], [0.326, 0.674, 0.507], [0.326, 0.674, 0.993], [0.674, 0.326, 0.007], [0.674, 0.326, 0.493]]}